This record from the Alexandria database describes BeHS2 after structural relaxation. The functional is GGA-PBEsol.

Geometry as extended XYZ:
```
4
Lattice="0.000 2.768 2.768 2.768 0.000 2.768 2.768 2.768 0.000" Properties=species:S:1:pos:R:3 pbc="T T T"
Be 0.000 0.000 0.000
H 2.768 2.768 2.768
S 1.384 1.384 1.384
S 4.151 4.151 4.151
```

Summary:
* space-group type: Fm-3m, No. 225
* energy relative to the lowest polymorph listed for this composition: 0.713 eV per atom